Record 1
The following is a GGA-PBE calculation of an optimized crystal structure of LiCeTcRh, from Alexandria.

```
data_LiCeTcRh
_chemical_formula_sum 'Li1 Ce1 Tc1 Rh1'
_space_group_name_H-M_alt 'P 1'
_space_group_IT_number 1
_cell_length_a 4.539
_cell_length_b 4.539
_cell_length_c 4.539
_cell_angle_alpha 60.00
_cell_angle_beta 60.00
_cell_angle_gamma 60.00
loop_
_space_group_symop_operation_xyz
'x,y,z'
loop_
_atom_site_label
_atom_site_type_symbol
_atom_site_fract_x
_atom_site_fract_y
_atom_site_fract_z
Li1 Li 0.750 0.750 0.750
Ce1 Ce 0.250 0.250 0.250
Tc1 Tc 0.500 0.500 0.500
Rh1 Rh 0.000 0.000 0.000
```

Summary:
Crystal system ... cubic
E ... -26.0 eV/cell
ΔE_f ... -0.4 eV per formula unit
ρ ... 8.74 g cm⁻³

---

Record 2
The following is a GGA-PBE calculation of an optimized crystal structure of LiCeTlRh, from Alexandria.

```
data_LiCeTlRh
_chemical_formula_sum 'Li1 Ce1 Tl1 Rh1'
_space_group_name_H-M_alt 'P 1'
_space_group_IT_number 1
_cell_length_a 4.834
_cell_length_b 4.834
_cell_length_c 4.834
_cell_angle_alpha 60.00
_cell_angle_beta 60.00
_cell_angle_gamma 60.00
loop_
_space_group_symop_operation_xyz
'x,y,z'
loop_
_atom_site_label
_atom_site_type_symbol
_atom_site_fract_x
_atom_site_fract_y
_atom_site_fract_z
Li1 Li 0.000 0.000 0.000
Tl1 Tl 0.250 0.250 0.250
Ce1 Ce 0.750 0.750 0.750
Rh1 Rh 0.500 0.500 0.500
```

Summary:
Crystal system ... cubic
E ... -19.0 eV/cell
ΔE_f ... -1.4 eV per formula unit
ρ ... 9.44 g cm⁻³

---

Record 3
The following is a GGA-PBE calculation of an optimized crystal structure of LiCeTmRh, from Alexandria.

```
data_LiCeTmRh
_chemical_formula_sum 'Li1 Ce1 Tm1 Rh1'
_space_group_name_H-M_alt 'P 1'
_space_group_IT_number 1
_cell_length_a 4.948
_cell_length_b 4.948
_cell_length_c 4.948
_cell_angle_alpha 60.00
_cell_angle_beta 60.00
_cell_angle_gamma 60.00
loop_
_space_group_symop_operation_xyz
'x,y,z'
loop_
_atom_site_label
_atom_site_type_symbol
_atom_site_fract_x
_atom_site_fract_y
_atom_site_fract_z
Rh1 Rh 0.500 0.500 0.500
Li1 Li 0.000 0.000 0.000
Tm1 Tm 0.250 0.250 0.250
Ce1 Ce 0.750 0.750 0.750
```

Summary:
Crystal system ... cubic
E ... -21.1 eV/cell
ΔE_f ... -1.5 eV per formula unit
ρ ... 8.12 g cm⁻³

---

Record 4
The following is a GGA-PBE calculation of an optimized crystal structure of LiCeRu2, from Alexandria.

```
data_LiCeRu2
_chemical_formula_sum 'Li1 Ce1 Ru2'
_space_group_name_H-M_alt 'P 1'
_space_group_IT_number 1
_cell_length_a 3.867
_cell_length_b 4.114
_cell_length_c 4.114
_cell_angle_alpha 90.00
_cell_angle_beta 90.00
_cell_angle_gamma 90.00
loop_
_space_group_symop_operation_xyz
'x,y,z'
loop_
_atom_site_label
_atom_site_type_symbol
_atom_site_fract_x
_atom_site_fract_y
_atom_site_fract_z
Ru1 Ru 0.000 0.000 0.500
Ru2 Ru 0.000 0.500 0.000
Li1 Li 0.500 0.000 0.000
Ce1 Ce 0.500 0.500 0.500
```

Summary:
Crystal system ... tetragonal
E ... -26.7 eV/cell
ΔE_f ... -0.3 eV per formula unit
ρ ... 8.86 g cm⁻³

---

Record 5
The following is a GGA-PBE calculation of an optimized crystal structure of LiCeRu, from Alexandria.

```
data_LiCeRu
_chemical_formula_sum 'Li4 Ce4 Ru4'
_space_group_name_H-M_alt 'P 1'
_space_group_IT_number 1
_cell_length_a 4.822
_cell_length_b 5.592
_cell_length_c 8.567
_cell_angle_alpha 90.00
_cell_angle_beta 90.00
_cell_angle_gamma 90.00
loop_
_space_group_symop_operation_xyz
'x,y,z'
loop_
_atom_site_label
_atom_site_type_symbol
_atom_site_fract_x
_atom_site_fract_y
_atom_site_fract_z
Ru1 Ru 0.500 0.500 0.057
Ru2 Ru 0.500 0.000 0.443
Ru3 Ru 0.000 0.000 0.943
Ru4 Ru 0.000 0.500 0.557
Li1 Li 0.000 0.250 0.250
Li2 Li 0.500 0.250 0.750
Li3 Li 0.500 0.750 0.750
Li4 Li 0.000 0.750 0.250
Ce1 Ce 0.000 0.500 0.930
Ce2 Ce 0.000 0.000 0.570
Ce3 Ce 0.500 0.000 0.070
Ce4 Ce 0.500 0.500 0.430
```

Summary:
ΔE to the lowest computed polymorph ... 0 meV/atom
Crystal system ... orthorhombic
E ... -70.3 eV/cell
ΔE_f ... -0.5 eV per formula unit
ρ ... 7.13 g cm⁻³

---

Record 6
The following is a GGA-PBE calculation of an optimized crystal structure of LiCeRu4, from Alexandria.

```
data_LiCeRu4
_chemical_formula_sum 'Li1 Ce1 Ru4'
_space_group_name_H-M_alt 'P 1'
_space_group_IT_number 1
_cell_length_a 5.255
_cell_length_b 5.255
_cell_length_c 5.255
_cell_angle_alpha 60.00
_cell_angle_beta 60.00
_cell_angle_gamma 60.00
loop_
_space_group_symop_operation_xyz
'x,y,z'
loop_
_atom_site_label
_atom_site_type_symbol
_atom_site_fract_x
_atom_site_fract_y
_atom_site_fract_z
Li1 Li 0.000 0.000 0.000
Ru1 Ru 0.625 0.124 0.625
Ru2 Ru 0.124 0.625 0.625
Ru3 Ru 0.625 0.625 0.124
Ru4 Ru 0.625 0.625 0.625
Ce1 Ce 0.250 0.250 0.250
```

Summary:
Crystal system ... cubic
E ... -44.6 eV/cell
ΔE_f ... 0.3 eV per formula unit
ρ ... 8.92 g cm⁻³

---

Record 7
The following is a GGA-PBE calculation of an optimized crystal structure of LiCeRu, from Alexandria.

```
data_LiCeRu
_chemical_formula_sum 'Li1 Ce1 Ru1'
_space_group_name_H-M_alt 'P 1'
_space_group_IT_number 1
_cell_length_a 3.326
_cell_length_b 4.397
_cell_length_c 4.397
_cell_angle_alpha 120.00
_cell_angle_beta 90.00
_cell_angle_gamma 90.00
loop_
_space_group_symop_operation_xyz
'x,y,z'
loop_
_atom_site_label
_atom_site_type_symbol
_atom_site_fract_x
_atom_site_fract_y
_atom_site_fract_z
Ru1 Ru 0.168 0.000 0.000
Li1 Li 0.166 0.667 0.333
Ce1 Ce 0.666 0.333 0.667
```

Summary:
ΔE to the lowest computed polymorph ... 185 meV/atom
Crystal system ... trigonal
E ... -17.0 eV/cell
ΔE_f ... 0.1 eV per formula unit
ρ ... 7.40 g cm⁻³

---

Record 8
The following is a GGA-PBE calculation of an optimized crystal structure of LiCeScRu, from Alexandria.

```
data_LiCeScRu
_chemical_formula_sum 'Li1 Ce1 Sc1 Ru1'
_space_group_name_H-M_alt 'P 1'
_space_group_IT_number 1
_cell_length_a 4.803
_cell_length_b 4.803
_cell_length_c 4.803
_cell_angle_alpha 60.00
_cell_angle_beta 60.00
_cell_angle_gamma 60.00
loop_
_space_group_symop_operation_xyz
'x,y,z'
loop_
_atom_site_label
_atom_site_type_symbol
_atom_site_fract_x
_atom_site_fract_y
_atom_site_fract_z
Sc1 Sc 0.500 0.500 0.500
Ru1 Ru 0.750 0.750 0.750
Li1 Li 0.250 0.250 0.250
Ce1 Ce 0.000 0.000 0.000
```

Summary:
Crystal system ... cubic
E ... -24.3 eV/cell
ΔE_f ... -0.8 eV per formula unit
ρ ... 6.21 g cm⁻³

---

Record 9
The following is a GGA-PBE calculation of an optimized crystal structure of LiCe2Si2Ru5, from Alexandria.

```
data_LiCe2Si2Ru5
_chemical_formula_sum 'Li2 Ce4 Si4 Ru10'
_space_group_name_H-M_alt 'P 1'
_space_group_IT_number 1
_cell_length_a 3.351
_cell_length_b 9.916
_cell_length_c 9.916
_cell_angle_alpha 90.00
_cell_angle_beta 90.00
_cell_angle_gamma 90.00
loop_
_space_group_symop_operation_xyz
'x,y,z'
loop_
_atom_site_label
_atom_site_type_symbol
_atom_site_fract_x
_atom_site_fract_y
_atom_site_fract_z
Li1 Li 0.000 0.500 0.500
Li2 Li 0.000 0.000 0.000
Si1 Si 0.000 0.873 0.373
Si2 Si 0.000 0.373 0.127
Si3 Si 0.000 0.127 0.627
Si4 Si 0.000 0.627 0.873
Ru1 Ru 0.500 0.290 0.570
Ru2 Ru 0.500 0.790 0.930
Ru3 Ru 0.500 0.000 0.500
Ru4 Ru 0.500 0.710 0.430
Ru5 Ru 0.500 0.430 0.290
Ru6 Ru 0.500 0.070 0.790
Ru7 Ru 0.500 0.570 0.710
Ru8 Ru 0.500 0.210 0.070
Ru9 Ru 0.500 0.500 0.000
Ru10 Ru 0.500 0.930 0.210
Ce1 Ce 0.000 0.674 0.174
Ce2 Ce 0.000 0.826 0.674
Ce3 Ce 0.000 0.174 0.326
Ce4 Ce 0.000 0.326 0.826
```

Summary:
Formation energy from raw total energies ... -427 meV/atom
Crystal system ... tetragonal
E ... -150.6 eV/cell
ρ ... 8.55 g cm⁻³

---

Record 10
The following is a GGA-PBE calculation of an optimized crystal structure of LiTbCeRu, from Alexandria.

```
data_LiTbCeRu
_chemical_formula_sum 'Li1 Tb1 Ce1 Ru1'
_space_group_name_H-M_alt 'P 1'
_space_group_IT_number 1
_cell_length_a 4.956
_cell_length_b 4.956
_cell_length_c 4.956
_cell_angle_alpha 60.00
_cell_angle_beta 60.00
_cell_angle_gamma 60.00
loop_
_space_group_symop_operation_xyz
'x,y,z'
loop_
_atom_site_label
_atom_site_type_symbol
_atom_site_fract_x
_atom_site_fract_y
_atom_site_fract_z
Tb1 Tb 0.500 0.500 0.500
Ru1 Ru 0.250 0.250 0.250
Ce1 Ce 0.000 0.000 0.000
Li1 Li 0.750 0.750 0.750
```

Summary:
Crystal system ... cubic
E ... -22.4 eV/cell
ΔE_f ... -0.7 eV per formula unit
ρ ... 7.85 g cm⁻³

---

Record 11
The following is a GGA-PBE calculation of an optimized crystal structure of LiCeThRu, from Alexandria.

```
data_LiCeThRu
_chemical_formula_sum 'Li1 Ce1 Th1 Ru1'
_space_group_name_H-M_alt 'P 1'
_space_group_IT_number 1
_cell_length_a 5.023
_cell_length_b 5.023
_cell_length_c 5.023
_cell_angle_alpha 60.00
_cell_angle_beta 60.00
_cell_angle_gamma 60.00
loop_
_space_group_symop_operation_xyz
'x,y,z'
loop_
_atom_site_label
_atom_site_type_symbol
_atom_site_fract_x
_atom_site_fract_y
_atom_site_fract_z
Th1 Th 0.500 0.500 0.500
Ru1 Ru 0.250 0.250 0.250
Ce1 Ce 0.000 0.000 0.000
Li1 Li 0.750 0.750 0.750
```

Summary:
Crystal system ... cubic
E ... -25.0 eV/cell
ΔE_f ... -0.4 eV per formula unit
ρ ... 8.90 g cm⁻³

---

Record 12
The following is a GGA-PBE calculation of an optimized crystal structure of LiCeTiRu, from Alexandria.

```
data_LiCeTiRu
_chemical_formula_sum 'Li1 Ce1 Ti1 Ru1'
_space_group_name_H-M_alt 'P 1'
_space_group_IT_number 1
_cell_length_a 4.688
_cell_length_b 4.688
_cell_length_c 4.688
_cell_angle_alpha 60.00
_cell_angle_beta 60.00
_cell_angle_gamma 60.00
loop_
_space_group_symop_operation_xyz
'x,y,z'
loop_
_atom_site_label
_atom_site_type_symbol
_atom_site_fract_x
_atom_site_fract_y
_atom_site_fract_z
Ce1 Ce 0.750 0.750 0.750
Ru1 Ru 0.500 0.500 0.500
Li1 Li 0.000 0.000 0.000
Ti1 Ti 0.250 0.250 0.250
```

Summary:
Crystal system ... cubic
E ... -25.2 eV/cell
ΔE_f ... -0.2 eV per formula unit
ρ ... 6.74 g cm⁻³